The following is a DFT calculation (PBE) of HfZr2Al2 after structural relaxation.

Lattice parameters (Å, degrees): 8.3192 8.3192 2.9808 90.00 90.00 90.00
Sites, in units of the cell vectors:
Hf 0.0000 0.0000 0.0000
Hf 0.5000 0.5000 0.0000
Al 0.1745 0.6745 0.5000
Al 0.6745 0.8255 0.5000
Al 0.8255 0.3255 0.5000
Al 0.3255 0.1745 0.5000
Zr 0.3756 0.8756 0.0000
Zr 0.8756 0.6244 0.0000
Zr 0.6244 0.1244 0.0000
Zr 0.1244 0.3756 0.0000

Computed properties:
* ΔE to the lowest computed polymorph: 143.8 kJ/mol of formula units
* ΔH_f (0 K): -0.0824 eV/atom
* symmetry: P4/mbm